K2NbAg GGA-PBE optimized geometry; space-group type = No. 225; energy relative to the lowest polymorph listed for this composition = 0.064 eV/atom; DOS(E_F) = 1.162 states/eV per atom; DFT formation energy = 4.87 eV per formula unit; calculated total energy = -10.25 eV per cell; crystal system = cubic
1.0
0.000 4.121 4.121
4.121 0.000 4.121
4.121 4.121 0.000
K Nb Ag
2 1 1
Cartesian
2.061 2.061 2.061
6.182 6.182 6.182
0.000 0.000 0.000
4.121 4.121 4.121